Entry 1:
! Li3Co2Si2O8, relaxed, DFT GGA-PBEsol; values from VASP
! Formation energy from raw total energies (eV/f.u.): -29.6
! E above lowest polymorph (kJ/mol of formula units): 2.0
! Total energy (eV/cell): -209.024
! Total moment (μB per cell): 14.00
&SYSTEM
  ibrav = 0, nat = 30, ntyp = 4
/
ATOMIC_SPECIES
Li 6.94 Li.upf
Co 58.93 Co.upf
Si 28.09 Si.upf
O 16.00 O.upf
CELL_PARAMETERS angstrom
4.9465 0.0000 0.0000
0.0000 6.3339 0.0000
-0.0824 0.0000 10.4666
ATOMIC_POSITIONS angstrom
Li 0.0000 0.0127 0.0000
Li -0.0412 6.3212 5.2333
Li 0.0021 1.5670 2.5122
Li -0.0391 4.7669 7.7455
Li 2.4222 1.6147 9.6375
Li 2.4634 4.7192 4.4042
Co 0.0075 1.7130 7.7989
Co 0.0487 4.6209 2.5655
Co 2.4535 1.5504 4.2969
Co 2.4123 4.7834 9.5303
Si 0.0169 3.1444 5.1347
Si -0.0243 3.1895 10.3680
Si 2.4535 0.0812 7.0092
Si 2.4946 6.2526 1.7759
O 1.6339 3.1006 4.8914
O 1.5927 3.2333 10.1247
O 1.8546 1.3725 7.8116
O 1.8958 4.9614 2.5783
O 1.9439 1.2672 2.5243
O 1.9027 5.0667 7.7576
O 1.9641 0.0563 5.4273
O 2.0053 6.2776 0.1939
O 4.1079 0.1243 7.0619
O 4.1491 6.2096 1.8285
O 4.3579 1.7758 4.4130
O 4.3167 4.5581 9.6463
O 4.3745 1.7961 9.6509
O 4.4157 4.5378 4.4176
O 4.6275 3.1504 1.4869
O 4.5863 3.1835 6.7202

***

Entry 2:
! CaNi3, relaxed, DFT GGA-PBEsol; values from VASP
! Total energy (eV/cell): -19.565
! Total moment (μB per cell): 0.00
! Formation enthalpy at 0 K (kJ/mol of formula units): 100
&SYSTEM
  ibrav = 0, nat = 4, ntyp = 2
/
ATOMIC_SPECIES
Ca 40.08 Ca.upf
Ni 58.69 Ni.upf
CELL_PARAMETERS angstrom
0.0000 2.9962 2.9962
2.9962 0.0000 2.9962
2.9962 2.9962 0.0000
ATOMIC_POSITIONS angstrom
Ca 0.0000 0.0000 0.0000
Ni 1.4981 1.4981 1.4981
Ni 2.9962 2.9962 2.9962
Ni 4.4943 4.4943 4.4943

***

Entry 3:
! Li2Cu2F5, relaxed, DFT GGA-PBEsol; values from VASP
! Formation energy from raw total energies (eV/f.u.): -17.8
! E above lowest polymorph (kJ/mol of formula units): 43.9
! Total energy (eV/cell): -79.996
! Total moment (μB per cell): 2.02
&SYSTEM
  ibrav = 0, nat = 18, ntyp = 3
/
ATOMIC_SPECIES
Li 6.94 Li.upf
Cu 63.55 Cu.upf
F 19.00 F.upf
CELL_PARAMETERS angstrom
3.7510 -4.0046 0.0000
3.7510 4.0046 0.0000
-2.4457 0.0000 6.7688
ATOMIC_POSITIONS angstrom
Li 1.3192 2.1767 6.6283
Li 2.5142 2.1767 3.5249
Li 2.5421 -2.1767 3.2439
Li 3.7371 -2.1767 0.1405
Cu 2.0239 0.0926 0.7904
Cu 0.8011 -0.0926 4.1747
Cu 4.2552 0.0926 2.5940
Cu 3.0324 -0.0926 5.9784
F 0.0000 0.0000 0.0000
F -1.2229 0.0000 3.3844
F 1.8755 2.0023 0.0000
F 1.5317 0.8088 2.5570
F 1.9167 1.3610 5.0766
F 0.3088 -0.8088 5.9414
F 0.6526 -2.0023 3.3844
F 4.7475 0.8088 0.8274
F 3.1396 -1.3610 1.6922
F 3.5247 -0.8088 4.2117

***

Entry 4:
! Co2TcPb, relaxed, DFT GGA-PBEsol; values from VASP
! Total energy (eV/cell): -28.608
! Total moment (μB per cell): 2.53
! Formation enthalpy at 0 K (kJ/mol of formula units): 206
&SYSTEM
  ibrav = 0, nat = 4, ntyp = 3
/
ATOMIC_SPECIES
Co 58.93 Co.upf
Tc 98.00 Tc.upf
Pb 207.20 Pb.upf
CELL_PARAMETERS angstrom
2.9758 0.0000 0.0000
0.0000 2.9758 0.0000
0.0000 0.0000 6.5490
ATOMIC_POSITIONS angstrom
Co 0.0000 0.0000 0.0000
Co 1.4879 1.4879 1.2606
Tc 1.4879 1.4879 5.2220
Pb 0.0000 0.0000 3.0986